Arrangement A

VASP calculation (GGA-PBE) on an optimized crystal structure of Ag15Sb.

Cell: 5.0196 35.0975 5.0150 Å, 90.00 109.29 90.00°
Closest atoms and distances in Å follow each position.
Fractional coordinates of all 32 atoms:
Ag: 0.0000 0.0211 0.2500  12 Ag 2.90-2.97
Ag: 0.0000 0.0634 0.7500  12 Ag 2.90-2.98
Ag: 0.0000 0.1055 0.2500  12 Ag 2.90-2.98
Ag: 0.0000 0.1482 0.7500  12 Ag 2.90-2.98
Ag: 0.0000 0.1903 0.2500  12 Ag 2.90-3.04
Ag: 0.0000 0.2331 0.7500  11 Ag 2.90-2.98, 1 Sb 3.02
Ag: 0.0000 0.2769 0.2500  9 Ag 2.90-3.04, 2 Sb 2.91
Ag: 0.0000 0.7231 0.7500  9 Ag 2.90-3.04, 2 Sb 2.91
Ag: 0.0000 0.7669 0.2500  11 Ag 2.90-2.98, 1 Sb 3.02
Ag: 0.0000 0.8097 0.7500  12 Ag 2.90-3.04
Ag: 0.0000 0.8518 0.2500  12 Ag 2.90-2.98
Ag: 0.0000 0.8945 0.7500  12 Ag 2.90-2.98
Ag: 0.0000 0.9366 0.2500  12 Ag 2.90-2.98
Ag: 0.0000 0.9789 0.7500  12 Ag 2.90-2.97
Ag: 0.5000 0.0209 0.7500  12 Ag 2.90-2.96
Ag: 0.5000 0.0636 0.2500  12 Ag 2.90-2.96
Ag: 0.5000 0.1053 0.7500  12 Ag 2.90-2.98
Ag: 0.5000 0.1479 0.2500  12 Ag 2.90-2.96
Ag: 0.5000 0.1903 0.7500  12 Ag 2.90-3.04
Ag: 0.5000 0.2320 0.2500  12 Ag 2.90-3.02
Ag: 0.5000 0.2770 0.7500  9 Ag 2.89-3.04, 2 Sb 2.91
Ag: 0.5000 0.3181 0.2500  5 Ag 2.89-3.02, 2 Sb 2.90
Ag: 0.5000 0.6819 0.7500  5 Ag 2.89-3.02, 2 Sb 2.90
Ag: 0.5000 0.7230 0.2500  9 Ag 2.89-3.04, 2 Sb 2.91
Ag: 0.5000 0.7680 0.7500  12 Ag 2.90-3.02
Ag: 0.5000 0.8097 0.2500  12 Ag 2.90-3.04
Ag: 0.5000 0.8521 0.7500  12 Ag 2.90-2.96
Ag: 0.5000 0.8947 0.2500  12 Ag 2.90-2.98
Ag: 0.5000 0.9364 0.7500  12 Ag 2.90-2.96
Ag: 0.5000 0.9791 0.2500  12 Ag 2.90-2.96
Sb: 0.0000 0.3190 0.7500  7 Ag 2.90-3.02
Sb: 0.0000 0.6810 0.2500  7 Ag 2.90-3.02

Values from the calculation:
- symmetry = P2/c, No. 13



Arrangement B

VASP calculation (GGA-PBE) on an optimized crystal structure of Ag15Sb.

Cell: 5.8059 4.0935 35.7064 Å, 90.00 90.19 90.00°
Closest atoms and distances in Å follow each position.
Fractional coordinates of all 32 atoms:
Ag: 0.1230 0.2500 0.1864  12 Ag 2.88-2.99
Ag: 0.1228 0.2500 0.2703  9 Ag 2.90-2.99, 2 Sb 2.93
Ag: 0.1251 0.2500 0.0207  12 Ag 2.90-2.95
Ag: 0.1250 0.2500 0.1034  12 Ag 2.90-2.96
Ag: 0.1253 0.2500 0.8550  12 Ag 2.90-2.98
Ag: 0.1249 0.2500 0.9382  12 Ag 2.90-2.97
Ag: 0.1263 0.2500 0.6887  2 Sb 2.90-2.91, 5 Ag 2.90-2.96
Ag: 0.1261 0.2500 0.7716  12 Ag 2.90-2.98
Ag: 0.3735 0.7500 0.8135  12 Ag 2.88-3.00
Ag: 0.3738 0.7500 0.2274  11 Ag 2.90-2.94, 1 Sb 3.04
Ag: 0.3747 0.7500 0.0621  12 Ag 2.90-2.99
Ag: 0.3750 0.7500 0.1457  12 Ag 2.90-2.99
Ag: 0.3752 0.7500 0.8965  12 Ag 2.90-2.97
Ag: 0.3750 0.7500 0.9792  12 Ag 2.90-2.96
Ag: 0.3763 0.7500 0.7295  9 Ag 2.90-3.00, 2 Sb 2.93
Ag: 0.6237 0.2500 0.2705  9 Ag 2.90-3.00, 2 Sb 2.93
Ag: 0.6250 0.2500 0.0208  12 Ag 2.90-2.96
Ag: 0.6248 0.2500 0.1035  12 Ag 2.90-2.97
Ag: 0.6250 0.2500 0.8543  12 Ag 2.90-2.99
Ag: 0.6253 0.2500 0.9379  12 Ag 2.90-2.99
Ag: 0.6262 0.2500 0.7726  11 Ag 2.90-2.94, 1 Sb 3.04
Ag: 0.6265 0.2500 0.1865  12 Ag 2.88-3.00
Ag: 0.8739 0.7500 0.2284  12 Ag 2.90-2.98
Ag: 0.8737 0.7500 0.3113  2 Sb 2.90-2.91, 5 Ag 2.90-2.96
Ag: 0.8751 0.7500 0.0618  12 Ag 2.90-2.97
Ag: 0.8747 0.7500 0.1450  12 Ag 2.90-2.98
Ag: 0.8750 0.7500 0.8966  12 Ag 2.90-2.96
Ag: 0.8749 0.7500 0.9793  12 Ag 2.90-2.95
Ag: 0.8772 0.7500 0.7297  9 Ag 2.90-2.99, 2 Sb 2.93
Ag: 0.8770 0.7500 0.8136  12 Ag 2.88-2.99
Sb: 0.3729 0.7500 0.3127  7 Ag 2.90-3.04
Sb: 0.6271 0.2500 0.6873  7 Ag 2.90-3.04

Values from the calculation:
- symmetry = P2_1/m, No. 11



It is arrangement A that is the most stable of them.



Arrangement A

VASP calculation (GGA-PBE) on an optimized crystal structure of HfTlAuSe3.

Cell: 14.6076 3.9071 10.5902 Å, 90.00 90.00 90.00°
Closest atoms and distances in Å follow each position.
Fractional coordinates of all 24 atoms:
Hf: 0.0145 0.2500 0.1741  6 Se 2.63-2.77
Hf: 0.4855 0.7500 0.6741  6 Se 2.63-2.77
Hf: 0.5145 0.2500 0.3259  6 Se 2.63-2.77
Hf: 0.9855 0.7500 0.8259  6 Se 2.63-2.77
Tl: 0.2290 0.2500 0.4531  7 Se 3.30-3.44, 2 Au 3.65
Tl: 0.2710 0.7500 0.9531  7 Se 3.30-3.44, 2 Au 3.65
Tl: 0.7290 0.2500 0.0469  7 Se 3.30-3.44, 2 Au 3.65
Tl: 0.7710 0.7500 0.5469  7 Se 3.30-3.44, 2 Au 3.65
Au: 0.0214 0.7500 0.4026  4 Se 2.58-2.82
Au: 0.4786 0.2500 0.9026  4 Se 2.58-2.82
Au: 0.5214 0.7500 0.0974  4 Se 2.58-2.82
Au: 0.9786 0.2500 0.5974  4 Se 2.58-2.82
Se: 0.0894 0.2500 0.9339  3 Hf 2.72-2.77
Se: 0.1066 0.7500 0.6420  1 Hf 2.63, 3 Au 2.74-2.82
Se: 0.1401 0.7500 0.2226  1 Au 2.58, 2 Hf 2.73
Se: 0.3599 0.2500 0.7226  1 Au 2.58, 2 Hf 2.73
Se: 0.3934 0.2500 0.1420  1 Hf 2.63, 3 Au 2.74-2.82
Se: 0.4106 0.7500 0.4339  3 Hf 2.72-2.77
Se: 0.5894 0.2500 0.5661  3 Hf 2.72-2.77
Se: 0.6066 0.7500 0.8580  1 Hf 2.63, 3 Au 2.74-2.82
Se: 0.6401 0.7500 0.2774  1 Au 2.58, 2 Hf 2.73
Se: 0.8599 0.2500 0.7774  1 Au 2.58, 2 Hf 2.73
Se: 0.8934 0.2500 0.3580  1 Hf 2.63, 3 Au 2.74-2.82
Se: 0.9106 0.7500 0.0661  3 Hf 2.72-2.77

Values from the calculation:
- total moment (μB/f.u.) = 0.01
- symmetry = Pnma, No. 62



Arrangement B

VASP calculation (GGA-PBE) on an optimized crystal structure of HfTlAuSe3.

Cell: 7.6503 7.6503 10.3921 Å, 90.00 90.00 150.52°
Closest atoms and distances in Å follow each position.
Fractional coordinates of all 12 atoms:
Hf: 0.0000 0.0000 0.0000  6 Se 2.73-2.79
Hf: 0.0000 0.0000 0.5000  6 Se 2.73-2.79
Tl: 0.2419 0.7581 0.7500  2 Au 3.36, 8 Se 3.42-3.48
Tl: 0.7581 0.2419 0.2500  2 Au 3.36, 8 Se 3.42-3.48
Au: 0.4434 0.5566 0.2500  4 Se 2.56-2.69
Au: 0.5566 0.4434 0.7500  4 Se 2.56-2.69
Se: 0.0685 0.9315 0.2500  2 Au 2.69, 2 Hf 2.79
Se: 0.3723 0.6277 0.0255  1 Au 2.56, 2 Hf 2.73
Se: 0.3723 0.6277 0.4745  1 Au 2.56, 2 Hf 2.73
Se: 0.6277 0.3723 0.5255  1 Au 2.56, 2 Hf 2.73
Se: 0.6277 0.3723 0.9745  1 Au 2.56, 2 Hf 2.73
Se: 0.9315 0.0685 0.7500  2 Au 2.69, 2 Hf 2.79

Values from the calculation:
- total moment (μB/f.u.) = 0.00
- symmetry = Cmcm, No. 63



It is arrangement A that is the most stable of them.



Arrangement A

VASP calculation (GGA-PBE) on an optimized crystal structure of HfPdAu.

Cell: 3.5152 3.5152 8.7049 Å, 90.00 90.00 90.00°
Closest atoms and distances in Å follow each position.
Fractional coordinates of all 6 atoms:
Hf: 0.2500 0.2500 0.2385  5 Pd 2.81-2.84, 5 Au 2.91-3.04
Hf: 0.7500 0.7500 0.7615  5 Pd 2.81-2.84, 5 Au 2.91-3.04
Pd: 0.2500 0.2500 0.9126  5 Hf 2.81-2.84, 1 Au 2.83, 4 Pd 2.91
Pd: 0.7500 0.7500 0.0874  5 Hf 2.81-2.84, 1 Au 2.83, 4 Pd 2.91
Au: 0.2500 0.2500 0.5880  1 Pd 2.83, 5 Hf 2.91-3.04, 4 Au 2.92
Au: 0.7500 0.7500 0.4120  1 Pd 2.83, 5 Hf 2.91-3.04, 4 Au 2.92

Values from the calculation:
- total moment (μB/f.u.) = 0.01
- symmetry = P4/nmm, No. 129



Arrangement B

VASP calculation (GGA-PBE) on an optimized crystal structure of HfPdAu.

Cell: 5.0109 5.0109 5.0109 Å, 139.27 138.91 59.24°
Closest atoms and distances in Å follow each position.
Fractional coordinates of all 3 atoms:
Hf: 0.0000 0.0000 0.0000  5 Pd 2.83-2.98, 5 Au 2.88-2.89
Pd: 0.6576 0.6576 0.0000  5 Hf 2.83-2.98, 5 Au 2.84-2.91
Au: 0.3319 0.3319 0.0000  5 Pd 2.84-2.91, 5 Hf 2.88-2.89

Values from the calculation:
- total moment (μB/f.u.) = 0.00
- symmetry = Imm2, No. 44



It is arrangement B that is the most stable of them.



Arrangement A

VASP calculation (GGA-PBE) on an optimized crystal structure of CsDyTmSe3.

Cell: 8.5308 8.5308 11.0721 Å, 90.00 90.00 149.46°
Closest atoms and distances in Å follow each position.
Fractional coordinates of all 12 atoms:
Cs: 0.2394 0.7606 0.7500  8 Se 3.71-4.05
Cs: 0.7606 0.2394 0.2500  8 Se 3.71-4.05
Dy: 0.0326 0.9674 0.2500  4 Se 2.71
Dy: 0.9674 0.0326 0.7500  4 Se 2.71
Tm: 0.5000 0.5000 0.0000  6 Se 2.94-2.96
Tm: 0.5000 0.5000 0.5000  6 Se 2.94-2.96
Se: 0.1142 0.8858 0.0378  1 Dy 2.71, 2 Tm 2.96
Se: 0.1142 0.8858 0.4622  1 Dy 2.71, 2 Tm 2.96
Se: 0.4400 0.5600 0.2500  2 Dy 2.71, 2 Tm 2.94
Se: 0.5600 0.4400 0.7500  2 Dy 2.71, 2 Tm 2.94
Se: 0.8858 0.1142 0.5379  1 Dy 2.71, 2 Tm 2.96
Se: 0.8858 0.1142 0.9622  1 Dy 2.71, 2 Tm 2.96

Values from the calculation:
- total moment (μB/f.u.) = 0.15
- symmetry = Cmcm, No. 63



Arrangement B

VASP calculation (GGA-PBE) on an optimized crystal structure of CsDyTmSe3.

Cell: 8.4821 8.4821 11.1783 Å, 90.00 90.00 149.38°
Closest atoms and distances in Å follow each position.
Fractional coordinates of all 12 atoms:
Cs: 0.2392 0.7608 0.7500  8 Se 3.71-3.98
Cs: 0.7608 0.2392 0.2500  8 Se 3.71-3.98
Dy: 0.5000 0.5000 0.0000  6 Se 2.95-2.98
Dy: 0.5000 0.5000 0.5000  6 Se 2.95-2.98
Tm: 0.0334 0.9666 0.2500  4 Se 2.67-2.69
Tm: 0.9666 0.0334 0.7500  4 Se 2.67-2.69
Se: 0.1166 0.8834 0.0450  1 Tm 2.67, 2 Dy 2.98
Se: 0.1166 0.8834 0.4550  1 Tm 2.67, 2 Dy 2.98
Se: 0.4420 0.5580 0.2500  2 Tm 2.69, 2 Dy 2.95
Se: 0.5580 0.4420 0.7500  2 Tm 2.69, 2 Dy 2.95
Se: 0.8834 0.1166 0.5450  1 Tm 2.67, 2 Dy 2.98
Se: 0.8834 0.1166 0.9550  1 Tm 2.67, 2 Dy 2.98

Values from the calculation:
- total moment (μB/f.u.) = 0.08
- symmetry = Cmcm, No. 63



It is arrangement B that is the most stable of them.



Arrangement A

VASP calculation (GGA-PBE) on an optimized crystal structure of SrLaAgN.

Cell: 9.7394 9.7394 5.3492 Å, 90.00 90.00 158.19°
Closest atoms and distances in Å follow each position.
Fractional coordinates of all 8 atoms:
Sr: 0.2083 0.7917 0.7500  4 N 2.71-2.73
Sr: 0.7917 0.2083 0.2500  4 N 2.71-2.73
La: 0.3973 0.6027 0.7500  2 N 2.44
La: 0.6027 0.3973 0.2500  2 N 2.44
Ag: 0.0378 0.9622 0.7500  2 Ag 3.04, 2 La 3.26, 1 Sr 3.26
Ag: 0.9622 0.0378 0.2500  2 Ag 3.04, 2 La 3.26, 1 Sr 3.26
N: 0.1861 0.8139 0.2500  2 La 2.44, 2 Sr 2.71
N: 0.8139 0.1861 0.7500  2 La 2.44, 2 Sr 2.71

Values from the calculation:
- total moment (μB/f.u.) = 0.02
- symmetry = Cmcm, No. 63



Arrangement B

VASP calculation (GGA-PBE) on an optimized crystal structure of SrLaAgN.

Cell: 9.7836 9.7836 5.2518 Å, 90.00 90.00 157.27°
Closest atoms and distances in Å follow each position.
Fractional coordinates of all 8 atoms:
Sr: 0.0959 0.9041 0.7500  2 N 2.98, 2 Ag 3.22
Sr: 0.9041 0.0959 0.2500  2 N 2.98, 2 Ag 3.22
La: 0.2907 0.7093 0.7500  4 N 2.42-2.63
La: 0.7093 0.2907 0.2500  4 N 2.42-2.63
Ag: 0.4614 0.5386 0.7500  2 Ag 3.02, 2 Sr 3.22, 1 La 3.27
Ag: 0.5386 0.4614 0.2500  2 Ag 3.02, 2 Sr 3.22, 1 La 3.27
N: 0.2856 0.7144 0.2500  4 La 2.42-2.63
N: 0.7144 0.2856 0.7500  4 La 2.42-2.63

Values from the calculation:
- total moment (μB/f.u.) = 0.01
- symmetry = Cmcm, No. 63



It is arrangement B that is the most stable of them.